# 1
Compound: SmFeSi2Ru
Source: Alexandria via LeMat-Bulk
Functional: PBE-GGA
Structure: relaxed Values from VASP.

Results
Formation energy (no corrections) in eV/atom: -0.7538
D(E_F) in states/eV per cell: 3.538
E in eV per cell: -37.07

Structure (Quantum ESPRESSO input):
```
&SYSTEM
  ibrav = 0, nat = 5, ntyp = 4
/
ATOMIC_SPECIES
Sm 150.36 Sm.upf
Fe 55.84 Fe.upf
Si 28.09 Si.upf
Ru 101.07 Ru.upf
ATOMIC_POSITIONS crystal
Sm 0.000 0.000 0.000
Fe 0.250 0.750 0.500
Si 0.634 0.634 0.267
Si 0.366 0.366 0.733
Ru 0.750 0.250 0.500
CELL_PARAMETERS angstrom
4.095 0.000 0.000
0.000 4.095 0.000
-2.048 -2.048 4.871
```

=====

# 2
Compound: SmFeSi3Ru
Source: Alexandria via LeMat-Bulk
Functional: PBE-GGA
Structure: relaxed Values from VASP.

Results
Formation energy (no corrections) in eV/atom: -0.4092
D(E_F) in states/eV per cell: 5.773
E in eV per cell: -82.36

Structure (Quantum ESPRESSO input):
```
&SYSTEM
  ibrav = 0, nat = 12, ntyp = 4
/
ATOMIC_SPECIES
Sm 150.36 Sm.upf
Fe 55.84 Fe.upf
Si 28.09 Si.upf
Ru 101.07 Ru.upf
ATOMIC_POSITIONS crystal
Sm 0.750 0.244 0.489
Sm 0.250 0.756 0.511
Fe 0.250 0.044 0.087
Fe 0.750 0.956 0.913
Si 0.250 0.238 0.475
Si 0.000 0.242 0.000
Si 0.500 0.758 0.000
Si 0.500 0.242 0.000
Si 0.000 0.758 0.000
Si 0.750 0.762 0.525
Ru 0.250 0.443 0.886
Ru 0.750 0.557 0.114
CELL_PARAMETERS angstrom
5.481 0.000 0.000
0.000 7.289 0.000
0.000 -3.644 5.377
```

=====

# 3
Compound: TbFeSi2Ru
Source: Alexandria via LeMat-Bulk
Functional: PBE-GGA
Structure: relaxed Values from VASP.

Results
Formation energy (no corrections) in eV/atom: -0.7733
D(E_F) in states/eV per cell: 3.681
E in eV per cell: -37.08

Structure (Quantum ESPRESSO input):
```
&SYSTEM
  ibrav = 0, nat = 5, ntyp = 4
/
ATOMIC_SPECIES
Tb 158.93 Tb.upf
Fe 55.84 Fe.upf
Si 28.09 Si.upf
Ru 101.07 Ru.upf
ATOMIC_POSITIONS crystal
Tb 0.000 0.000 0.000
Fe 0.750 0.250 0.500
Si 0.631 0.631 0.263
Si 0.369 0.369 0.737
Ru 0.250 0.750 0.500
CELL_PARAMETERS angstrom
4.068 0.000 0.000
0.000 4.068 0.000
-2.034 -2.034 4.821
```

=====

# 4
Compound: TiFeSiRu
Source: Alexandria via LeMat-Bulk
Functional: PBE-GGA
Structure: relaxed Values from VASP.

Results
Formation energy (no corrections) in eV/atom: -0.7507
D(E_F) in states/eV per cell: 0.106
E in eV per cell: -34.06

Structure (Quantum ESPRESSO input):
```
&SYSTEM
  ibrav = 0, nat = 4, ntyp = 4
/
ATOMIC_SPECIES
Ru 101.07 Ru.upf
Si 28.09 Si.upf
Fe 55.84 Fe.upf
Ti 47.87 Ti.upf
ATOMIC_POSITIONS crystal
Ru 0.000 0.000 0.000
Si 0.750 0.750 0.750
Fe 0.500 0.500 0.500
Ti 0.250 0.250 0.250
CELL_PARAMETERS angstrom
4.146 0.000 0.000
2.073 3.591 0.000
2.073 1.197 3.386
```

=====

# 5
Compound: U2FeSi6Ru
Source: Alexandria via LeMat-Bulk
Functional: PBE-GGA
Structure: relaxed Values from VASP.

Results
Formation energy (no corrections) in eV/atom: -0.2678
D(E_F) in states/eV per cell: 19.376
E in eV per cell: -151.06

Structure (Quantum ESPRESSO input):
```
&SYSTEM
  ibrav = 0, nat = 20, ntyp = 4
/
ATOMIC_SPECIES
U 238.03 U.upf
Fe 55.84 Fe.upf
Si 28.09 Si.upf
Ru 101.07 Ru.upf
ATOMIC_POSITIONS crystal
U 0.874 0.874 0.379
U 0.126 0.126 0.621
U 0.715 0.715 0.855
U 0.285 0.285 0.145
Fe 0.000 0.000 0.000
Fe 0.500 0.500 0.500
Si 0.929 0.341 0.389
Si 0.341 0.929 0.389
Si 0.341 0.341 0.389
Si 0.071 0.659 0.611
Si 0.659 0.071 0.611
Si 0.659 0.659 0.611
Si 0.772 0.190 0.847
Si 0.190 0.772 0.847
Si 0.190 0.190 0.847
Si 0.228 0.810 0.153
Si 0.810 0.228 0.153
Si 0.810 0.810 0.153
Ru 0.578 0.578 0.267
Ru 0.422 0.422 0.733
CELL_PARAMETERS angstrom
-0.833 4.085 3.995
-1.290 -1.490 5.428
10.797 0.607 5.804
```

=====

# 6
Compound: FeSiRuW
Source: Alexandria via LeMat-Bulk
Functional: PBE-GGA
Structure: relaxed Values from VASP.

Results
Formation energy (no corrections) in eV/atom: -0.0860
D(E_F) in states/eV per cell: 3.855
E in eV per cell: -36.46

Structure (Quantum ESPRESSO input):
```
&SYSTEM
  ibrav = 0, nat = 4, ntyp = 4
/
ATOMIC_SPECIES
Ru 101.07 Ru.upf
Si 28.09 Si.upf
Fe 55.84 Fe.upf
W 183.84 W.upf
ATOMIC_POSITIONS crystal
Ru 0.500 0.500 0.500
Si 0.250 0.250 0.250
Fe 0.000 0.000 0.000
W 0.750 0.750 0.750
CELL_PARAMETERS angstrom
4.228 0.000 0.000
2.114 3.661 0.000
2.114 1.220 3.452
```

=====

Q: Among the records above, which one has the lowest formation energy (no corrections)?
A: TbFeSi2Ru

=====

Q: Which value of formation energy (no corrections) does entry 5 give?
A: -0.2678 eV/atom

=====

Q: What is the formula in the first record?
A: SmFeSi2Ru

=====

Q: formation energy (no corrections) of number 3 (TbFeSi2Ru)?
A: -0.7733 eV/atom